Compound: ZrNiS2F
Source: Alexandria
Functional: GGA+U
Structure: optimized geometry

Unit cell a=4.547 b=4.547 c=3.657 alpha=90.00 beta=90.00 gamma=90.00
Positions (direct):
Zr (0.000, 0.000, 0.000)
Ni (0.500, 0.500, 0.500)
S (0.000, 0.500, 0.500)
S (0.500, 0.000, 0.500)
F (0.500, 0.500, 0.000)

Output
The value obtained for the total energy is -24.84 eV for the cell shown.